Record 1
DFT (GGA-PBE) results for a geometry-optimized MgSiBr2 structure.

The structure in POSCAR format:
```
MgSiBr2
1.0
5.107 0.007 -0.003
-0.947 5.019 -0.003
2.085 2.518 3.946
Br Mg Si
2 1 1
Direct
0.000 0.000 0.000
0.500 0.500 0.000
0.500 0.000 0.500
0.000 0.500 0.500
```

Properties
- formation energy from raw total energies (meV per atom) = -163
- raw total energy (eV per atom) = -2.7535
- total magnetic moment (μB/f.u.) = 0.0
- excess energy over the best structure of this formula in the dataset (eV/atom) = 0.192

***

Record 2
DFT (GGA-PBE) results for a geometry-optimized TiNbHg2 structure.

The structure in POSCAR format:
```
TiNbHg2
1.0
0.000 3.376 3.376
3.376 0.000 3.376
3.376 3.376 0.000
Nb Hg Ti
1 2 1
Direct
0.500 0.500 0.500
0.250 0.250 0.250
0.750 0.750 0.750
0.000 0.000 0.000
```

Properties
- raw total energy (eV per atom) = -4.3877
- total magnetic moment (μB/f.u.) = 0.7
- excess energy over the best structure of this formula in the dataset (eV/atom) = 0.148
- formation enthalpy at 0 K (eV/atom) = 0.254

***

Record 3
DFT (GGA-PBE) results for a geometry-optimized Nd3SmTm3S8 structure.

The structure in POSCAR format:
```
Nd3SmTm3S8
1.0
7.862 0.000 0.000
-3.931 6.809 -0.024
0.000 -4.517 6.547
Nd Sm Tm S
3 1 3 8
Direct
0.000 0.000 0.000
0.000 0.500 0.000
0.500 0.500 0.000
0.000 0.000 0.500
0.500 0.000 0.500
0.500 0.500 0.500
0.000 0.500 0.500
0.257 0.513 0.270
0.743 0.487 0.730
0.747 0.495 0.261
0.253 0.505 0.739
0.747 0.014 0.261
0.253 0.986 0.739
0.267 0.014 0.261
0.733 0.986 0.739
```

Properties
- formation energy from raw total energies (meV per atom) = -2030
- raw total energy (eV per atom) = -6.3934
- total magnetic moment (μB/f.u.) = 0.0

***

Record 4
DFT (GGA-PBE) results for a geometry-optimized K2TlCl structure.

The structure in POSCAR format:
```
K2TlCl
1.0
4.452 -4.062 0.184
-0.095 -4.392 4.131
-1.045 -5.696 -1.679
Tl K Cl
1 2 1
Direct
0.500 0.500 0.500
0.250 0.250 0.250
0.750 0.750 0.750
0.000 0.000 0.000
```

Properties
- formation energy from raw total energies (meV per atom) = -566
- raw total energy (eV per atom) = -2.1680
- total magnetic moment (μB/f.u.) = 0.0
- excess energy over the best structure of this formula in the dataset (eV/atom) = 0.334

***

Record 5
DFT (GGA-PBE) results for a geometry-optimized SbWCl3 structure.

The structure in POSCAR format:
```
SbWCl3
1.0
4.987 0.000 0.000
0.000 4.987 0.000
0.000 0.000 4.987
Sb W Cl
1 1 3
Direct
0.500 0.500 0.500
0.000 0.000 0.000
0.000 0.500 0.000
0.000 0.000 0.500
0.500 0.000 0.000
```

Properties
- formation energy from raw total energies (meV per atom) = 416
- raw total energy (eV per atom) = -4.1071
- total magnetic moment (μB/f.u.) = 5.2
- excess energy over the best structure of this formula in the dataset (eV/atom) = 0.000

***

Record 6
DFT (GGA-PBE) results for a geometry-optimized RbBeO2 structure.

The structure in POSCAR format:
```
RbBeO2
1.0
4.881 0.000 0.000
0.000 4.881 0.000
2.440 2.440 4.417
Be O Rb
2 4 2
Direct
0.500 0.500 0.000
0.250 0.750 0.500
0.375 0.125 0.250
0.375 0.625 0.250
0.375 0.625 0.750
0.875 0.625 0.750
0.000 0.000 0.000
0.750 0.250 0.500
```

Properties
- formation energy from raw total energies (meV per atom) = -1714
- raw total energy (eV per atom) = -5.3667
- total magnetic moment (μB/f.u.) = 0.0

***

Record 7
DFT (GGA-PBE) results for a geometry-optimized Tm6Mg5Sn structure.

The structure in POSCAR format:
```
Tm6Mg5Sn
1.0
5.019 -0.028 1.673
0.038 7.411 0.013
-0.006 -0.014 8.385
Mg Tm Sn
5 6 1
Direct
0.666 0.500 0.668
0.328 0.000 0.345
0.000 0.500 0.000
0.672 0.000 0.655
0.334 0.500 0.332
0.834 0.749 0.333
0.834 0.251 0.333
0.500 0.249 0.000
0.500 0.751 0.000
0.166 0.749 0.667
0.166 0.251 0.667
0.000 0.000 0.000
```

Properties
- raw total energy (eV per atom) = -3.4171
- total magnetic moment (μB/f.u.) = 0.0
- formation enthalpy at 0 K (eV/atom) = -0.183

***

Record 8
DFT (GGA-PBE) results for a geometry-optimized Dy2TcN4 structure.

The structure in POSCAR format:
```
Dy2TcN4
1.0
-4.186 0.935 3.909
3.609 -1.599 4.246
3.290 5.553 -0.705
Dy Tc N
4 2 8
Direct
0.669 0.750 0.036
0.331 0.250 0.964
0.267 0.250 0.443
0.733 0.750 0.557
0.210 0.750 0.187
0.790 0.250 0.813
0.457 0.514 0.246
0.032 0.750 0.909
0.968 0.250 0.091
0.457 0.986 0.246
0.981 0.250 0.639
0.543 0.014 0.754
0.543 0.486 0.754
0.019 0.750 0.361
```

Properties
- formation energy from raw total energies (meV per atom) = -838
- raw total energy (eV per atom) = -8.3907
- total magnetic moment (μB/f.u.) = 0.0

***

Record 9
DFT (GGA-PBE) results for a geometry-optimized CaTlRh2 structure.

The structure in POSCAR format:
```
CaTlRh2
1.0
2.379 -3.370 -2.300
-2.249 -3.871 -1.504
-0.722 -0.666 -4.620
Tl Rh Ca
1 2 1
Direct
0.500 0.500 0.500
0.250 0.250 0.250
0.750 0.750 0.750
0.000 0.000 0.000
```

Properties
- raw total energy (eV per atom) = -4.9897
- total magnetic moment (μB/f.u.) = 0.0
- formation enthalpy at 0 K (eV/atom) = -0.222

***

Record 10
DFT (GGA-PBE) results for a geometry-optimized NaAc2AsO5 structure.

The structure in POSCAR format:
```
NaAc2AsO5
1.0
6.099 0.000 0.000
0.000 7.189 0.000
0.000 0.000 7.189
Na Ac As O
2 4 2 10
Direct
0.000 0.500 0.500
0.000 0.000 0.000
0.500 0.679 0.179
0.500 0.179 0.321
0.500 0.821 0.679
0.500 0.321 0.821
0.000 0.000 0.500
0.000 0.500 0.000
0.500 0.500 0.500
0.500 0.000 0.000
0.243 0.134 0.634
0.243 0.866 0.366
0.243 0.366 0.134
0.243 0.634 0.866
0.757 0.134 0.634
0.757 0.634 0.866
0.757 0.866 0.366
0.757 0.366 0.134
```

Properties
- formation energy from raw total energies (meV per atom) = -2196
- raw total energy (eV per atom) = -6.5270
- total magnetic moment (μB/f.u.) = 0.0

***

Record 11
DFT (GGA-PBE) results for a geometry-optimized HfTcC2 structure.

The structure in POSCAR format:
```
HfTcC2
1.0
-3.118 -1.956 -1.364
-3.599 0.908 1.277
-2.542 1.786 -2.399
C Hf Tc
2 1 1
Direct
0.250 0.250 0.250
0.750 0.750 0.750
0.500 0.500 0.500
0.000 0.000 0.000
```

Properties
- raw total energy (eV per atom) = -9.3116
- total magnetic moment (μB/f.u.) = 0.0
- excess energy over the best structure of this formula in the dataset (eV/atom) = 0.230
- formation enthalpy at 0 K (eV/atom) = 0.380

***

Record 12
DFT (GGA-PBE) results for a geometry-optimized Be2SiPb structure.

The structure in POSCAR format:
```
Be2SiPb
1.0
-3.571 -3.061 -0.094
2.347 -4.065 -0.308
0.689 3.380 3.198
Pb Be Si
1 2 1
Direct
0.250 0.750 0.500
0.000 0.000 0.000
0.500 0.500 0.000
0.750 0.250 0.500
```

Properties
- formation energy from raw total energies (meV per atom) = 839
- raw total energy (eV per atom) = -3.3074
- total magnetic moment (μB/f.u.) = 0.0
- excess energy over the best structure of this formula in the dataset (eV/atom) = 0.582

***

Record 13
DFT (GGA-PBE) results for a geometry-optimized Ta2CoTc structure.

The structure in POSCAR format:
```
Ta2CoTc
1.0
2.731 0.000 0.000
0.000 2.731 0.000
0.000 0.000 8.288
Co Ta Tc
1 2 1
Direct
0.500 0.500 0.731
0.000 0.000 0.972
0.500 0.500 0.260
0.000 0.000 0.537
```

Properties
- raw total energy (eV per atom) = -10.2643
- total magnetic moment (μB/f.u.) = 0.5
- excess energy over the best structure of this formula in the dataset (eV/atom) = 0.308
- formation enthalpy at 0 K (eV/atom) = 0.030

***

Record 14
DFT (GGA-PBE) results for a geometry-optimized AlSi2Ni structure.

The structure in POSCAR format:
```
AlSi2Ni
1.0
-3.219 2.527 0.243
-3.256 1.056 -2.256
-3.752 -3.008 1.826
Ni Si Al
1 2 1
Direct
0.750 0.750 0.750
0.009 0.009 0.959
0.491 0.491 0.541
0.250 0.250 0.250
```

Properties
- formation energy from raw total energies (meV per atom) = -86
- raw total energy (eV per atom) = -5.1784
- total magnetic moment (μB/f.u.) = 0.0

***

Record 15
DFT (GGA-PBE) results for a geometry-optimized Zn3Ir4 structure.

The structure in POSCAR format:
```
Zn3Ir4
1.0
-8.105 7.252 8.225
-10.445 4.190 7.700
10.067 -6.592 -6.414
Zn Ir
3 4
Direct
0.000 0.000 0.000
0.711 0.711 0.000
0.289 0.289 0.000
0.859 0.859 0.000
0.572 0.572 0.000
0.428 0.428 0.000
0.141 0.141 0.000
```

Properties
- raw total energy (eV per atom) = -5.6568
- total magnetic moment (μB/f.u.) = 0.0
- excess energy over the best structure of this formula in the dataset (eV/atom) = 0.000
- formation enthalpy at 0 K (eV/atom) = -0.047

***

Record 16
DFT (GGA-PBE) results for a geometry-optimized Mg2NpN3 structure.

The structure in POSCAR format:
```
Mg2NpN3
1.0
-2.580 -1.788 -4.474
2.038 -4.206 -2.833
-3.124 -5.514 0.667
Mg Np N
4 2 6
Direct
0.172 0.172 0.484
0.328 0.328 0.016
0.828 0.828 0.516
0.672 0.672 0.984
0.500 0.500 0.500
0.000 0.000 0.000
0.909 0.591 0.250
0.250 0.909 0.250
0.750 0.091 0.750
0.409 0.750 0.750
0.091 0.409 0.750
0.591 0.250 0.250
```

Properties
- formation energy from raw total energies (meV per atom) = -851
- raw total energy (eV per atom) = -7.7019
- total magnetic moment (μB/f.u.) = 2.0

***

Record 17
DFT (GGA-PBE) results for a geometry-optimized Ca2WAu structure.

The structure in POSCAR format:
```
Ca2WAu
1.0
-8.088 -2.728 5.146
-5.787 -4.225 6.928
-6.497 -1.079 7.481
Ca Au W
2 1 1
Direct
0.002 0.002 0.002
0.498 0.498 0.498
0.750 0.750 0.750
0.250 0.250 0.250
```

Properties
- raw total energy (eV per atom) = -4.5559
- total magnetic moment (μB/f.u.) = 0.5
- excess energy over the best structure of this formula in the dataset (eV/atom) = 0.205
- formation enthalpy at 0 K (eV/atom) = 0.503

***

Record 18
DFT (GGA-PBE) results for a geometry-optimized Ce2Zn15Au2 structure.

The structure in POSCAR format:
```
Ce2Zn15Au2
1.0
6.885 -0.004 -0.004
0.889 6.827 -0.004
0.889 0.780 6.782
Ce Zn Au
2 15 2
Direct
0.342 0.342 0.342
0.658 0.658 0.658
0.500 0.000 0.000
0.000 0.000 0.500
0.000 0.500 0.000
0.000 0.707 0.293
0.707 0.293 0.000
0.293 0.000 0.707
0.293 0.707 0.000
0.707 0.000 0.293
0.000 0.293 0.707
0.162 0.648 0.648
0.648 0.648 0.162
0.648 0.162 0.648
0.838 0.352 0.352
0.352 0.352 0.838
0.352 0.838 0.352
0.110 0.110 0.110
0.890 0.890 0.890
```

Properties
- raw total energy (eV per atom) = -2.2423
- total magnetic moment (μB/f.u.) = 1.4
- formation enthalpy at 0 K (eV/atom) = -0.267

***

Record 19
DFT (GGA-PBE) results for a geometry-optimized NiRuC structure.

The structure in POSCAR format:
```
NiRuC
1.0
2.817 0.000 0.000
-1.408 2.439 0.000
0.000 0.000 27.607
Ru C Ni
6 6 6
Direct
0.000 0.000 0.745
0.333 0.667 0.411
0.667 0.333 0.078
0.000 0.000 0.581
0.333 0.667 0.247
0.667 0.333 0.914
0.000 0.000 0.367
0.333 0.667 0.033
0.667 0.333 0.700
0.000 0.000 0.200
0.333 0.667 0.867
0.667 0.333 0.533
0.000 0.000 0.490
0.333 0.667 0.157
0.667 0.333 0.823
0.000 0.000 0.995
0.333 0.667 0.662
0.667 0.333 0.329
```

Properties
- raw total energy (eV per atom) = -7.7231
- total magnetic moment (μB/f.u.) = 0.0
- excess energy over the best structure of this formula in the dataset (eV/atom) = 0.043
- formation enthalpy at 0 K (eV/atom) = 0.371

***

Record 20
DFT (GGA-PBE) results for a geometry-optimized NaSn3 structure.

The structure in POSCAR format:
```
NaSn3
1.0
3.389 0.000 0.000
0.000 5.968 0.000
-1.694 -2.984 5.373
Na Sn
1 3
Direct
0.000 0.000 0.000
0.245 0.574 0.491
0.500 0.508 0.000
0.755 0.084 0.509
```

Properties
- raw total energy (eV per atom) = -3.3911
- total magnetic moment (μB/f.u.) = 0.0
- formation enthalpy at 0 K (eV/atom) = -0.059

***

Record 21
DFT (GGA-PBE) results for a geometry-optimized MgAlCdBi structure.

The structure in POSCAR format:
```
MgAlCdBi
1.0
-1.286 -3.526 -3.599
1.749 -4.881 0.401
-3.286 -3.850 1.190
Mg Al Bi Cd
1 1 1 1
Direct
0.750 0.750 0.750
0.250 0.250 0.250
0.000 0.000 0.000
0.500 0.500 0.500
```

Properties
- raw total energy (eV per atom) = -2.4268
- total magnetic moment (μB/f.u.) = 0.0
- formation enthalpy at 0 K (eV/atom) = 0.107

***

Record 22
DFT (GGA-PBE) results for a geometry-optimized Ce2USi2Ir7 structure.

The structure in POSCAR format:
```
Ce2USi2Ir7
1.0
-0.193 -3.721 -1.484
2.885 -1.185 2.523
-8.534 -4.745 9.558
Ce U Si Ir
2 1 2 7
Direct
0.895 0.895 0.355
0.105 0.105 0.645
0.000 0.000 0.000
0.580 0.580 0.749
0.420 0.420 0.251
0.500 0.500 0.000
0.382 0.382 0.423
0.618 0.618 0.577
0.952 0.452 0.150
0.452 0.952 0.150
0.548 0.048 0.850
0.048 0.548 0.850
```

Properties
- formation energy from raw total energies (meV per atom) = -798
- raw total energy (eV per atom) = -8.8000
- total magnetic moment (μB/f.u.) = 0.0

***

Record 23
DFT (GGA-PBE) results for a geometry-optimized MgTa2C structure.

The structure in POSCAR format:
```
MgTa2C
1.0
-3.176 -1.245 2.742
-0.855 2.370 3.578
-3.703 2.318 0.256
Mg C Ta
1 1 2
Direct
0.500 0.500 0.500
0.000 0.000 0.000
0.250 0.250 0.250
0.750 0.750 0.750
```

Properties
- raw total energy (eV per atom) = -7.2306
- total magnetic moment (μB/f.u.) = 0.0
- excess energy over the best structure of this formula in the dataset (eV/atom) = 0.534
- formation enthalpy at 0 K (eV/atom) = 1.400

***

Record 24
DFT (GGA-PBE) results for a geometry-optimized Rb2DyRe3O12 structure.

The structure in POSCAR format:
```
Rb2DyRe3O12
1.0
-7.434 1.317 0.907
-5.152 -5.562 -0.591
-3.815 -2.583 6.050
Rb Dy Re O
2 1 3 12
Direct
0.617 0.617 0.617
0.383 0.383 0.383
0.000 0.000 0.000
0.500 0.000 0.000
0.000 0.500 0.000
0.000 0.000 0.500
0.303 0.303 0.930
0.928 0.928 0.354
0.354 0.928 0.928
0.930 0.303 0.303
0.928 0.354 0.928
0.303 0.930 0.303
0.697 0.697 0.070
0.072 0.072 0.646
0.646 0.072 0.072
0.070 0.697 0.697
0.072 0.646 0.072
0.697 0.070 0.697
```

Properties
- formation energy from raw total energies (meV per atom) = -1931
- raw total energy (eV per atom) = -7.6748
- total magnetic moment (μB/f.u.) = 0.9